[1]
A plane-wave DFT calculation with PBE-GGA was carried out for a relaxed TaTe2RuI crystal.

It has space group P4/mmm (No. 123), with a = 5.396 Å, b = 5.396 Å, c = 5.556 Å, α = 90.00°, β = 90.00° and γ = 90.00°. The asymmetric unit holds Ta at (0.000, 0.000, 0.000), Te at (0.000, 0.500, 0.000), Ru at (0.500, 0.500, 0.500) and I at (0.000, 0.000, 0.500).

The density of states at the Fermi level comes out at 5.09 states/eV/cell. For the energy relative to the elements, uncorrected, the calculation gives 1121 meV/atom. The energy above the lowest structure with this stoichiometry comes out at 0.000 eV/atom.



[2]
A plane-wave DFT calculation with PBE-GGA was carried out for a relaxed TaRuWI2 crystal.

It has space group P4/mmm (No. 123), with a = 5.241 Å, b = 5.241 Å, c = 5.060 Å, α = 90.00°, β = 90.00° and γ = 90.00°. The asymmetric unit holds Ta at (0.000, 0.000, 0.000), Ru at (0.500, 0.500, 0.000), W at (0.000, 0.000, 0.500) and I at (0.000, 0.500, 0.500).

The density of states at the Fermi level comes out at 8.75 states/eV/cell. For the energy relative to the elements, uncorrected, the calculation gives 2136 meV/atom.



[3]
A plane-wave DFT calculation with PBE-GGA was carried out for a relaxed Tb3RuI crystal.

It has space group C2/m (No. 12), with a = 15.577 Å, b = 3.842 Å, c = 10.124 Å, α = 90.00°, β = 107.49° and γ = 90.00°. The asymmetric unit holds Tb at (0.027, 0.000, 0.357), Tb at (0.158, 0.500, 0.882), Tb at (0.232, 0.000, 0.644), Ru at (0.098, 0.500, 0.589) and I at (0.121, 0.000, 0.120).

The density of states at the Fermi level comes out at 11.88 states/eV/cell. For the energy relative to the elements, uncorrected, the calculation gives -496 meV/atom. The energy above the lowest structure with this stoichiometry comes out at 0.000 eV/atom.



[4]
A plane-wave DFT calculation with PBE-GGA was carried out for a relaxed Tb5Ru2I2 crystal.

It has space group Cmce (No. 64), with a = 16.869 Å, b = 7.837 Å, c = 7.845 Å, α = 90.00°, β = 90.00° and γ = 90.00°. The asymmetric unit holds Tb at (0.000, 0.000, 0.000), Tb at (0.104, 0.154, 0.346), Ru at (0.000, 0.144, 0.643) and I at (0.220, 0.000, 0.000).

The density of states at the Fermi level comes out at 24.15 states/eV/cell. For the energy relative to the elements, uncorrected, the calculation gives -627 meV/atom.



[5]
A plane-wave DFT calculation with PBE-GGA was carried out for a relaxed Tb2RuI crystal.

It has space group C2/m (No. 12), with a = 7.344 Å, b = 3.732 Å, c = 8.397 Å, α = 90.00°, β = 103.80° and γ = 90.00°. The asymmetric unit holds Tb at (0.249, 0.000, 0.312), Ru at (0.000, 0.000, 0.500) and I at (0.000, 0.500, 0.000).

The density of states at the Fermi level comes out at 2.79 states/eV/cell. For the energy relative to the elements, uncorrected, the calculation gives -611 meV/atom. The energy above the lowest structure with this stoichiometry comes out at 0.000 eV/atom.



[6]
A plane-wave DFT calculation with PBE-GGA was carried out for a relaxed Tb3RuI crystal.

It has space group Pmmn (No. 59, origin choice 2), with a = 4.090 Å, b = 7.248 Å, c = 9.968 Å, α = 90.00°, β = 90.00° and γ = 90.00°. The asymmetric unit holds Tb at (0.250, 0.003, 0.142), Tb at (0.250, 0.750, 0.628), Ru at (0.250, 0.750, 0.904) and I at (0.250, 0.250, 0.636).

The density of states at the Fermi level comes out at 6.01 states/eV/cell. For the energy relative to the elements, uncorrected, the calculation gives -450 meV/atom. The energy above the lowest structure with this stoichiometry comes out at 0.047 eV/atom.



[7]
A plane-wave DFT calculation with PBE-GGA was carried out for a relaxed Tb2RuI crystal.

It has space group P4/mmm (No. 123), with a = 3.499 Å, b = 3.499 Å, c = 8.379 Å, α = 90.00°, β = 90.00° and γ = 90.00°. The asymmetric unit holds Tb at (0.000, 0.000, 0.198), Ru at (0.500, 0.500, 0.000) and I at (0.500, 0.500, 0.500).

The density of states at the Fermi level comes out at 2.22 states/eV/cell. For the energy relative to the elements, uncorrected, the calculation gives -556 meV/atom. The energy above the lowest structure with this stoichiometry comes out at 0.055 eV/atom.



[8]
A plane-wave DFT calculation with PBE-GGA was carried out for a relaxed TbRuI crystal.

It has space group R-3m (No. 166, hexagonal axes), with a = 4.2156 Å, b = 4.2156 Å, c = 36.3384 Å, α = 90.00°, β = 90.00° and γ = 120.00°. The asymmetric unit holds Tb at (0.0000, 0.0000, 0.0536), Ru at (0.0000, 0.0000, 0.3350) and I at (0.0000, 0.0000, 0.2222).

The density of states at the Fermi level comes out at 11.28 states/eV/cell. For the energy relative to the elements, uncorrected, the calculation gives -777 meV/atom.



[9]
A plane-wave DFT calculation with PBE-GGA was carried out for a relaxed Tb7RuI12 crystal.

It has space group R-3 (No. 148, hexagonal axes), with a = 15.8011 Å, b = 15.8011 Å, c = 11.0273 Å, α = 90.00°, β = 90.00° and γ = 120.00°. The asymmetric unit holds Tb at (0.0000, 0.0000, 0.0000), Tb at (0.0426, 0.8842, 0.3641), Ru at (0.0000, 0.0000, 0.5000), I at (0.0188, 0.4329, 0.1575) and I at (0.0479, 0.8740, 0.8357).

The density of states at the Fermi level comes out at 32.81 states/eV/cell. For the energy relative to the elements, uncorrected, the calculation gives -1208 meV/atom.



[10]
A plane-wave DFT calculation with PBE-GGA was carried out for a relaxed Tb4RuI5 crystal.

It has space group C2/m (No. 12), with a = 19.420 Å, b = 4.130 Å, c = 9.084 Å, α = 90.00°, β = 103.01° and γ = 90.00°. The asymmetric unit holds Tb at (0.000, 0.000, 0.205), Tb at (0.139, 0.500, 0.072), Ru at (0.000, 0.500, 0.000), I at (0.000, 0.500, 0.500), I at (0.168, 0.000, 0.340) and I at (0.175, 0.000, 0.833).

The density of states at the Fermi level comes out at 10.86 states/eV/cell. For the energy relative to the elements, uncorrected, the calculation gives -1063 meV/atom.



[11]
A plane-wave DFT calculation with PBE-GGA was carried out for a relaxed TbThRuI crystal.

It has space group R3m (No. 160, hexagonal axes), with a = 4.1113 Å, b = 4.1113 Å, c = 24.5060 Å, α = 90.00°, β = 90.00° and γ = 120.00°. The asymmetric unit holds Tb at (0.0000, 0.0000, 0.0000), Th at (0.0000, 0.0000, 0.7862), Ru at (0.0000, 0.0000, 0.3974) and I at (0.0000, 0.0000, 0.2306).

The density of states at the Fermi level comes out at 2.03 states/eV/cell. For the energy relative to the elements, uncorrected, the calculation gives -723 meV/atom.



[12]
A plane-wave DFT calculation with PBE-GGA was carried out for a relaxed Tc2RuI crystal.

It has space group Fm-3m (No. 225), with a = 6.366 Å, b = 6.366 Å, c = 6.366 Å, α = 90.00°, β = 90.00° and γ = 90.00°. The asymmetric unit holds Tc at (0.250, 0.250, 0.250), Ru at (0.000, 0.000, 0.000) and I at (0.000, 0.000, 0.500).

The density of states at the Fermi level comes out at 14.73 states/eV/cell. For the energy relative to the elements, uncorrected, the calculation gives 902 meV/atom. The energy above the lowest structure with this stoichiometry comes out at 0.000 eV/atom.



[13]
A plane-wave DFT calculation with PBE-GGA was carried out for a relaxed TcRu3I crystal.

It has space group Pm-3m (No. 221), with a = 4.720 Å, b = 4.720 Å, c = 4.720 Å, α = 90.00°, β = 90.00° and γ = 90.00°. The asymmetric unit holds Tc at (0.000, 0.000, 0.000), Ru at (0.000, 0.000, 0.500) and I at (0.500, 0.500, 0.500).

The density of states at the Fermi level comes out at 10.01 states/eV/cell. For the energy relative to the elements, uncorrected, the calculation gives 1687 meV/atom. The energy above the lowest structure with this stoichiometry comes out at 0.000 eV/atom.



[14]
A plane-wave DFT calculation with PBE-GGA was carried out for a relaxed Tc2RuI crystal.

It has space group I-42d (No. 122), with a = 5.728 Å, b = 5.728 Å, c = 11.570 Å, α = 90.00°, β = 90.00° and γ = 90.00°. The asymmetric unit holds Tc at (0.210, 0.250, 0.125), Ru at (0.000, 0.000, 0.000) and I at (0.000, 0.000, 0.500).

The density of states at the Fermi level comes out at 18.86 states/eV/cell. For the energy relative to the elements, uncorrected, the calculation gives 1163 meV/atom. The energy above the lowest structure with this stoichiometry comes out at 0.261 eV/atom.



[15]
A plane-wave DFT calculation with PBE-GGA was carried out for a relaxed TcTeRuI2 crystal.

It has space group P4/mmm (No. 123), with a = 5.449 Å, b = 5.449 Å, c = 5.113 Å, α = 90.00°, β = 90.00° and γ = 90.00°. The asymmetric unit holds Tc at (0.000, 0.000, 0.000), Te at (0.500, 0.500, 0.000), Ru at (0.500, 0.500, 0.500) and I at (0.000, 0.500, 0.500).

The density of states at the Fermi level comes out at 3.99 states/eV/cell. For the energy relative to the elements, uncorrected, the calculation gives 1122 meV/atom. The energy above the lowest structure with this stoichiometry comes out at 0.000 eV/atom.



[16]
A plane-wave DFT calculation with PBE-GGA was carried out for a relaxed Zn2TcRuI crystal.

It has space group P4/mmm (No. 123), with a = 4.916 Å, b = 4.916 Å, c = 4.700 Å, α = 90.00°, β = 90.00° and γ = 90.00°. The asymmetric unit holds Zn at (0.000, 0.500, 0.000), Tc at (0.000, 0.000, 0.500), Ru at (0.000, 0.000, 0.000) and I at (0.500, 0.500, 0.500).

The density of states at the Fermi level comes out at 3.33 states/eV/cell. For the energy relative to the elements, uncorrected, the calculation gives 805 meV/atom.



[17]
A plane-wave DFT calculation with PBE-GGA was carried out for a relaxed TeRuI2 crystal.

It has space group Fm-3m (No. 225), with a = 7.482 Å, b = 7.482 Å, c = 7.482 Å, α = 90.00°, β = 90.00° and γ = 90.00°. The asymmetric unit holds Te at (0.000, 0.000, 0.000), Ru at (0.000, 0.000, 0.500) and I at (0.250, 0.250, 0.250).

The density of states at the Fermi level comes out at 21.55 states/eV/cell. For the energy relative to the elements, uncorrected, the calculation gives 1069 meV/atom. The energy above the lowest structure with this stoichiometry comes out at 0.428 eV/atom.



[18]
A plane-wave DFT calculation with PBE-GGA was carried out for a relaxed TeRu3I crystal.

It has space group Pm-3m (No. 221), with a = 4.935 Å, b = 4.935 Å, c = 4.935 Å, α = 90.00°, β = 90.00° and γ = 90.00°. The asymmetric unit holds Te at (0.000, 0.000, 0.000), Ru at (0.000, 0.000, 0.500) and I at (0.500, 0.500, 0.500).

The density of states at the Fermi level comes out at 6.81 states/eV/cell. For the energy relative to the elements, uncorrected, the calculation gives 1513 meV/atom. The energy above the lowest structure with this stoichiometry comes out at 0.000 eV/atom.



[19]
A plane-wave DFT calculation with PBE-GGA was carried out for a relaxed Te2RuI2 crystal.

It has space group P4/mbm (No. 127), with a = 7.181 Å, b = 7.181 Å, c = 7.399 Å, α = 90.00°, β = 90.00° and γ = 90.00°. The asymmetric unit holds Te at (0.129, 0.371, 0.000), Ru at (0.000, 0.000, 0.500) and I at (0.177, 0.677, 0.500).

The density of states at the Fermi level comes out at 6.12 states/eV/cell. For the energy relative to the elements, uncorrected, the calculation gives 579 meV/atom. The energy above the lowest structure with this stoichiometry comes out at 0.000 eV/atom.



[20]
A plane-wave DFT calculation with PBE-GGA was carried out for a relaxed TeRuI2 crystal.

It has space group I-42d (No. 122), with a = 7.560 Å, b = 7.560 Å, c = 9.004 Å, α = 90.00°, β = 90.00° and γ = 90.00°. The asymmetric unit holds Te at (0.000, 0.000, 0.000), Ru at (0.000, 0.000, 0.500) and I at (0.177, 0.250, 0.625).

The density of states at the Fermi level comes out at 13.01 states/eV/cell. For the energy relative to the elements, uncorrected, the calculation gives 642 meV/atom. The energy above the lowest structure with this stoichiometry comes out at 0.000 eV/atom.



[21]
A plane-wave DFT calculation with PBE-GGA was carried out for a relaxed TeRuI crystal.

It has space group Pmn2_1 (No. 31), with a = 4.059 Å, b = 5.838 Å, c = 6.545 Å, α = 90.00°, β = 90.00° and γ = 90.00°. The asymmetric unit holds Te at (0.000, 0.005, 0.000), Ru at (0.000, 0.220, 0.348) and I at (0.000, 0.497, 0.706).

The density of states at the Fermi level comes out at 5.78 states/eV/cell. For the energy relative to the elements, uncorrected, the calculation gives 3 meV/atom.



[22]
A plane-wave DFT calculation with PBE-GGA was carried out for a relaxed Te2RuI crystal.

It has space group R-3m (No. 166, hexagonal axes), with a = 4.0990 Å, b = 4.0990 Å, c = 25.4581 Å, α = 90.00°, β = 90.00° and γ = 120.00°. The asymmetric unit holds Te at (0.0000, 0.0000, 0.1176), Ru at (0.0000, 0.0000, 0.5000) and I at (0.0000, 0.0000, 0.0000).

The density of states at the Fermi level comes out at 8.97 states/eV/cell. For the energy relative to the elements, uncorrected, the calculation gives -83 meV/atom. The energy above the lowest structure with this stoichiometry comes out at 0.000 eV/atom.



[23]
A plane-wave DFT calculation with PBE-GGA was carried out for a relaxed Te2RuI2 crystal.

It has space group I4/mmm (No. 139), with a = 4.033 Å, b = 4.033 Å, c = 23.679 Å, α = 90.00°, β = 90.00° and γ = 90.00°. The asymmetric unit holds Te at (0.000, 0.500, 0.250), Ru at (0.000, 0.000, 0.000) and I at (0.000, 0.000, 0.426).

The density of states at the Fermi level comes out at 5.65 states/eV/cell. For the energy relative to the elements, uncorrected, the calculation gives 723 meV/atom. The energy above the lowest structure with this stoichiometry comes out at 0.145 eV/atom.



[24]
A plane-wave DFT calculation with PBE-GGA was carried out for a relaxed Te2RuI crystal.

It has space group I-42d (No. 122), with a = 7.290 Å, b = 7.290 Å, c = 10.553 Å, α = 90.00°, β = 90.00° and γ = 90.00°. The asymmetric unit holds Te at (0.153, 0.250, 0.125), Ru at (0.000, 0.000, 0.000) and I at (0.000, 0.000, 0.500).

The density of states at the Fermi level comes out at 12.04 states/eV/cell. For the energy relative to the elements, uncorrected, the calculation gives 168 meV/atom. The energy above the lowest structure with this stoichiometry comes out at 0.250 eV/atom.